# Nd5ZrRh4 (PBE-GGA, optimized geometry)
# Calculated formation energy ... -5.48 eV/f.u.
data_Nd5ZrRh4
_chemical_formula_sum 'Nd10 Zr2 Rh8'
_symmetry_space_group_name_H-M 'C 1 2/m 1'
_symmetry_Int_Tables_number 12
_cell_length_a 16.749
_cell_length_b 4.482
_cell_length_c 7.200
_cell_angle_alpha 90.00
_cell_angle_beta 106.46
_cell_angle_gamma 90.00
loop_
_symmetry_equiv_pos_as_xyz
'x,y,z'
'-x,-y,-z'
'-x,y,-z'
'x,-y,z'
'x+1/2,y+1/2,z'
'-x+1/2,-y+1/2,-z'
'-x+1/2,y+1/2,-z'
'x+1/2,-y+1/2,z'
loop_
_atom_site_label
_atom_site_type_symbol
_atom_site_fract_x
_atom_site_fract_y
_atom_site_fract_z
_atom_site_occupancy
Nd1 Nd 0.000 0.000 0.000 1
Nd2 Nd 0.162 0.500 0.553 1
Nd3 Nd 0.172 0.500 0.063 1
Zr1 Zr 0.000 0.000 0.500 1
Rh1 Rh 0.006 0.500 0.723 1
Rh2 Rh 0.144 0.000 0.795 1